Entry from Alexandria via LeMat-Bulk: AcSm2Y6Ho after structural relaxation (PBE).

Structure (POSCAR):
```
AcSm2Y6Ho
1.0
4.626 -7.677 0.000
4.626 7.677 0.000
-1.016 0.000 9.608
Ac Sm Y Ho
2 4 12 2
Direct
0.027 0.973 0.750
0.973 0.027 0.250
0.200 0.312 0.550
0.312 0.200 0.050
0.688 0.800 0.950
0.800 0.688 0.450
0.015 0.560 0.683
0.130 0.749 0.058
0.251 0.870 0.442
0.290 0.507 0.885
0.440 0.985 0.817
0.493 0.710 0.615
0.507 0.290 0.385
0.560 0.015 0.183
0.710 0.493 0.115
0.749 0.130 0.558
0.870 0.251 0.942
0.985 0.440 0.317
0.411 0.589 0.250
0.589 0.411 0.750
```

Energy of formation, eV per atom: 0.12
Total moment, μB/cell: 0.00
DFT total energy, eV/atom: -5.566
Density of states at the Fermi level, states/eV/atom: 1.61
Space-group type: C2/c



Entry from Alexandria via LeMat-Bulk: MgIr2Ru after structural relaxation (PBE).

Structure (POSCAR):
```
MgIr2Ru
1.0
2.777 0.000 0.000
0.000 3.842 0.000
0.000 0.000 5.526
Mg Ir Ru
1 2 1
Direct
0.000 0.000 0.000
0.500 0.500 0.256
0.500 0.500 0.744
0.000 0.000 0.500
```

Energy of formation, eV per atom: -0.08
Total moment, μB/cell: 0.00
DFT total energy, eV/atom: -7.229
Density of states at the Fermi level, states/eV/atom: 1.19
Space-group type: Pmmm



Entry from Alexandria via LeMat-Bulk: Sr2Zn2Bi after structural relaxation (PBE).

Structure (POSCAR):
```
Sr2Zn2Bi
1.0
7.963 0.000 0.000
0.000 7.963 0.000
0.000 0.000 4.715
Sr Zn Bi
4 4 2
Direct
0.184 0.316 0.000
0.316 0.816 0.000
0.684 0.184 0.000
0.816 0.684 0.000
0.112 0.612 0.500
0.388 0.112 0.500
0.612 0.888 0.500
0.888 0.388 0.500
0.000 0.000 0.500
0.500 0.500 0.500
```

Energy of formation, eV per atom: -0.40
Total moment, μB/cell: 0.00
ΔE to the lowest computed polymorph, eV/f.u.: 0.00
DFT total energy, eV/atom: -2.358
Density of states at the Fermi level, states/eV/atom: 0.50
Space-group type: P4/mbm



Entry from Alexandria via LeMat-Bulk: ThHI3 after structural relaxation (PBE).

Structure (POSCAR):
```
ThHI3
1.0
14.241 0.000 0.000
0.000 14.241 0.000
0.000 0.000 4.498
Th H I
4 4 12
Direct
0.120 0.120 0.000
0.380 0.620 0.500
0.620 0.380 0.500
0.880 0.880 0.000
0.108 0.108 0.500
0.392 0.608 0.000
0.608 0.392 0.000
0.892 0.892 0.500
0.101 0.325 0.000
0.103 0.897 0.000
0.175 0.601 0.500
0.325 0.101 0.000
0.397 0.397 0.500
0.399 0.825 0.500
0.601 0.175 0.500
0.603 0.603 0.500
0.675 0.899 0.000
0.825 0.399 0.500
0.897 0.103 0.000
0.899 0.675 0.000
```

Total moment, μB/cell: 0.00
DFT total energy, eV/atom: -3.969
Density of states at the Fermi level, states/eV/atom: 0.00
Space-group type: P4_2/mnm



Entry from Alexandria via LeMat-Bulk: K2AsPb after structural relaxation (PBE).

Structure (POSCAR):
```
K2AsPb
1.0
12.946 0.000 0.000
0.000 4.234 0.000
-2.512 0.000 5.141
K As Pb
4 2 2
Direct
0.000 0.000 0.000
0.199 0.000 0.698
0.500 0.500 0.000
0.699 0.500 0.698
0.249 0.500 0.245
0.749 0.000 0.245
0.405 0.000 0.406
0.905 0.500 0.406
```

Energy of formation, eV per atom: -0.29
Total moment, μB/cell: 0.00
ΔE to the lowest computed polymorph, eV/f.u.: 0.11
DFT total energy, eV/atom: -2.926
Density of states at the Fermi level, states/eV/atom: 0.62
Space-group type: Cm



Entry from Alexandria via LeMat-Bulk: TcOs3 after structural relaxation (PBE).

Structure (POSCAR):
```
TcOs3
1.0
2.748 0.000 0.000
0.000 4.369 0.000
0.000 0.000 4.772
Tc Os
1 3
Direct
0.000 0.000 0.000
0.000 0.500 0.669
0.500 0.000 0.503
0.500 0.500 0.170
```

Energy of formation, eV per atom: -0.05
Total moment, μB/cell: 0.00
ΔE to the lowest computed polymorph, eV/f.u.: 0.09
DFT total energy, eV/atom: -11.067
Density of states at the Fermi level, states/eV/atom: 0.79
Space-group type: Pmm2